PBE LiLu2Pb, relaxed; electronic total energy = -3.47 eV/atom; spin magnetization = 0.00 μB/atom
1.0
1.703 0.983 11.444
-1.703 0.983 11.444
0.000 -1.966 11.444
Li Lu Pb
1 2 1
direct
0.000 0.000 0.000 Li
0.409 0.409 0.409 Lu
0.591 0.591 0.591 Lu
0.500 0.500 0.500 Pb